--- w ---
Compound: PmErS3
Source: Alexandria
Functional: PBE
Structure: optimized geometry

Cell and atoms, written as POSCAR:
```
PmErS3
1.0
7.359 0.000 0.000
0.000 3.955 0.000
0.000 0.000 15.292
Pm Er S
4 4 12
Cartesian
1.053 0.989 3.079 Pm
2.627 2.967 10.725 Pm
4.733 0.989 4.567 Pm
6.307 2.967 12.212 Pm
1.697 2.967 6.988 Er
1.982 0.989 14.634 Er
5.377 2.967 0.658 Er
5.662 0.989 8.304 Er
0.085 0.989 6.040 S
0.917 2.967 0.956 S
1.101 0.989 11.998 S
2.579 2.967 4.352 S
2.762 0.989 8.602 S
3.594 2.967 13.686 S
3.765 0.989 1.606 S
4.597 2.967 6.690 S
4.781 0.989 10.940 S
6.258 2.967 3.294 S
6.442 0.989 14.335 S
7.274 2.967 9.251 S
```

Theoretical density ... 6.09 g/cm3

***

--- x ---
Compound: PmErS3
Source: Alexandria
Functional: PBE
Structure: optimized geometry

Cell and atoms, written as POSCAR:
```
PmErS3
1.0
3.493 2.017 6.208
-3.493 2.017 6.208
0.000 -4.034 6.208
Pm Er S
2 2 6
Cartesian
0.000 0.000 2.696 Pm
0.000 0.000 15.929 Pm
0.000 0.000 6.482 Er
0.000 0.000 12.143 Er
-1.407 -1.933 7.741 S
-2.378 0.252 10.884 S
-0.971 2.185 7.741 S
0.971 -2.185 10.884 S
2.378 -0.252 7.741 S
1.407 1.933 10.884 S
```

D(E_F) ... 0.00 states/eV per cell
Theoretical density ... 5.17 g/cm3

***

Relative stability in kJ/mol of atoms, measured from the most stable structure: w 0.0; x 3.7

***

--- w ---
Compound: PmEr2Sb
Source: Alexandria
Functional: PBE
Structure: optimized geometry

Cell and atoms, written as POSCAR:
```
PmEr2Sb
1.0
0.000 3.803 3.803
3.803 0.000 3.803
3.803 3.803 0.000
Pm Er Sb
1 2 1
Cartesian
0.000 0.000 0.000 Pm
1.902 1.902 1.902 Er
5.705 5.705 5.705 Er
3.803 3.803 3.803 Sb
```

D(E_F) ... 4.92 states/eV per cell
Theoretical density ... 9.07 g/cm3

***

--- x ---
Compound: PmEr2Sb
Source: Alexandria
Functional: PBE
Structure: optimized geometry

Cell and atoms, written as POSCAR:
```
PmEr2Sb
1.0
1.994 1.151 9.525
-1.994 1.151 9.525
0.000 -2.303 9.525
Pm Er Sb
1 2 1
Cartesian
0.000 0.000 0.000 Pm
0.000 0.000 6.699 Er
0.000 0.000 12.393 Er
0.000 0.000 23.846 Sb
```

D(E_F) ... 4.55 states/eV per cell
Theoretical density ... 7.61 g/cm3

***

--- y ---
Compound: PmEr2Sb
Source: Alexandria
Functional: PBE
Structure: optimized geometry

Cell and atoms, written as POSCAR:
```
PmEr2Sb
1.0
2.063 -6.145 0.000
2.063 6.145 0.000
0.000 0.000 9.506
Pm Er Sb
2 4 2
Cartesian
2.063 5.454 7.129 Pm
2.063 -5.454 2.376 Pm
2.063 1.686 5.165 Er
2.063 1.686 9.094 Er
2.063 -1.686 0.412 Er
2.063 -1.686 4.341 Er
2.063 3.217 2.376 Sb
2.063 -3.217 7.129 Sb
```

D(E_F) ... 11.48 states/eV per cell
Theoretical density ... 8.28 g/cm3

***

--- z ---
Compound: PmEr2Sb
Source: Alexandria
Functional: PBE
Structure: optimized geometry

Cell and atoms, written as POSCAR:
```
PmEr2Sb
1.0
6.792 0.000 0.000
0.000 5.145 0.000
-1.582 0.000 6.677
Pm Er Sb
2 4 2
Cartesian
0.417 1.286 2.792 Pm
4.793 3.859 3.885 Pm
-0.619 1.286 6.095 Er
1.350 3.859 4.963 Er
3.861 1.286 1.715 Er
5.829 3.859 0.583 Er
2.155 3.859 1.426 Sb
3.056 1.286 5.251 Sb
```

D(E_F) ... 9.37 states/eV per cell
Theoretical density ... 8.56 g/cm3

***

Relative stability in kJ/mol of atoms, measured from the most stable structure: w 31.3; x 22.6; y 0.0; z 9.1

***

--- w ---
Compound: PmErSb
Source: Alexandria
Functional: PBE
Structure: optimized geometry

Cell and atoms, written as POSCAR:
```
PmErSb
1.0
5.127 -2.136 0.000
5.127 2.136 0.000
-2.544 0.000 8.235
Pm Er Sb
2 2 2
Cartesian
1.441 0.000 1.004 Pm
6.269 0.000 7.231 Pm
2.440 0.000 4.776 Er
5.270 0.000 3.459 Er
-0.696 0.000 5.882 Sb
8.406 0.000 2.353 Sb
```

D(E_F) ... 7.16 states/eV per cell
Theoretical density ... 7.99 g/cm3

***

--- x ---
Compound: PmErSb
Source: Alexandria
Functional: PBE
Structure: optimized geometry

Cell and atoms, written as POSCAR:
```
PmErSb
1.0
-2.007 2.007 5.331
2.007 -2.007 5.331
2.007 2.007 -5.331
Pm Er Sb
1 1 1
Cartesian
0.000 0.000 0.000 Pm
0.000 0.000 3.268 Er
0.000 0.000 7.080 Sb
```

D(E_F) ... 2.64 states/eV per cell
Theoretical density ... 8.39 g/cm3

***

--- y ---
Compound: PmErSb
Source: Alexandria
Functional: PBE
Structure: optimized geometry

Cell and atoms, written as POSCAR:
```
PmErSb
1.0
-2.255 2.255 8.545
2.255 -2.255 8.545
2.255 2.255 -8.545
Pm Er Sb
2 2 2
Cartesian
0.000 0.000 3.028 Pm
0.000 0.000 14.062 Pm
2.255 0.000 0.000 Er
0.000 2.255 0.000 Er
0.000 0.000 6.259 Sb
0.000 0.000 10.830 Sb
```

D(E_F) ... 8.80 states/eV per cell
Theoretical density ... 8.29 g/cm3

***

Relative stability in kJ/mol of atoms, measured from the most stable structure: w 27.5; x 18.1; y 0.0

***

--- w ---
Compound: Pm3ErSb3
Source: Alexandria
Functional: PBE
Structure: optimized geometry

Cell and atoms, written as POSCAR:
```
Pm3ErSb3
1.0
9.366 0.000 0.000
0.000 9.366 0.000
0.000 0.000 9.366
Pm Er Sb
12 4 12
Cartesian
0.633 4.049 5.316 Pm
1.656 7.710 3.027 Pm
1.677 1.677 1.677 Pm
3.006 7.689 6.360 Pm
3.027 1.656 7.710 Pm
4.049 5.316 0.633 Pm
5.316 0.633 4.049 Pm
6.339 6.339 6.339 Pm
6.360 3.006 7.689 Pm
7.689 6.360 3.006 Pm
7.710 3.027 1.656 Pm
8.732 8.732 8.732 Pm
0.681 5.364 8.685 Er
4.002 4.002 4.002 Er
5.364 8.685 0.681 Er
8.685 0.681 5.364 Er
0.018 2.396 8.167 Sb
1.199 4.701 2.287 Sb
2.287 1.199 4.701 Sb
2.396 8.167 0.018 Sb
3.484 4.665 6.969 Sb
4.665 6.969 3.484 Sb
4.701 2.287 1.199 Sb
5.882 9.348 7.079 Sb
6.969 3.484 4.665 Sb
7.079 5.882 9.348 Sb
8.167 0.018 2.396 Sb
9.348 7.079 5.882 Sb
```

D(E_F) ... 27.95 states/eV per cell
Theoretical density ... 7.82 g/cm3

***

--- x ---
Compound: Pm3ErSb3
Source: Alexandria
Functional: PBE
Structure: optimized geometry

Cell and atoms, written as POSCAR:
```
Pm3ErSb3
1.0
4.555 2.630 6.268
-4.555 2.630 6.268
0.000 -5.259 6.268
Pm Er Sb
6 2 6
Cartesian
-1.161 -3.170 7.898 Pm
-3.326 -0.579 10.904 Pm
-2.165 2.591 7.898 Pm
2.165 -2.591 10.904 Pm
3.326 0.579 7.898 Pm
1.161 3.170 10.904 Pm
0.000 0.000 6.258 Er
0.000 0.000 12.545 Er
-2.820 -0.455 7.750 Sb
-1.016 -2.669 11.053 Sb
1.804 -2.214 7.750 Sb
-1.804 2.214 11.053 Sb
1.016 2.669 7.750 Sb
2.820 0.455 11.053 Sb
```

D(E_F) ... 9.72 states/eV per cell
Theoretical density ... 7.13 g/cm3

***

Relative stability in kJ/mol of atoms, measured from the most stable structure: w 0.0; x 9.2

***

--- w ---
Compound: PmErSb2
Source: Alexandria
Functional: PBE
Structure: optimized geometry

Cell and atoms, written as POSCAR:
```
PmErSb2
1.0
5.728 0.000 0.000
0.000 5.728 0.000
0.000 0.000 3.349
Pm Er Sb
1 1 2
Cartesian
0.000 0.000 0.000 Pm
2.864 2.864 0.000 Er
0.000 2.864 1.674 Sb
2.864 0.000 1.674 Sb
```

D(E_F) ... 1.87 states/eV per cell
Theoretical density ... 8.40 g/cm3

***

--- x ---
Compound: PmErSb2
Source: Alexandria
Functional: PBE
Structure: optimized geometry

Cell and atoms, written as POSCAR:
```
PmErSb2
1.0
0.000 3.825 3.825
3.825 0.000 3.825
3.825 3.825 0.000
Pm Er Sb
1 1 2
Cartesian
0.000 0.000 0.000 Pm
3.825 3.825 3.825 Er
1.913 1.913 1.913 Sb
5.738 5.738 5.738 Sb
```

D(E_F) ... 1.73 states/eV per cell
Theoretical density ... 8.24 g/cm3

***

--- y ---
Compound: PmErSb2
Source: Alexandria
Functional: PBE
Structure: optimized geometry

Cell and atoms, written as POSCAR:
```
PmErSb2
1.0
4.409 0.000 0.000
-2.204 3.818 0.000
0.000 0.000 14.563
Pm Er Sb
2 2 4
Cartesian
0.000 2.545 3.641 Pm
2.204 1.273 10.922 Pm
0.000 0.000 0.000 Er
0.000 0.000 7.282 Er
0.000 2.545 9.007 Sb
0.000 2.545 12.838 Sb
2.204 1.273 1.725 Sb
2.204 1.273 5.557 Sb
```

D(E_F) ... 1.42 states/eV per cell
Theoretical density ... 7.53 g/cm3

***

--- z ---
Compound: PmErSb2
Source: Alexandria
Functional: PBE
Structure: optimized geometry

Cell and atoms, written as POSCAR:
```
PmErSb2
1.0
2.213 1.278 7.214
-2.213 1.278 7.214
0.000 -2.555 7.214
Pm Er Sb
1 1 2
Cartesian
0.000 0.000 0.000 Pm
0.000 0.000 10.821 Er
0.000 0.000 5.343 Sb
0.000 0.000 16.298 Sb
```

D(E_F) ... 0.68 states/eV per cell
Theoretical density ... 7.54 g/cm3

***

Relative stability in kJ/mol of atoms, measured from the most stable structure: w 27.6; x 31.5; y 5.4; z 0.0

***

--- w ---
Compound: Pm2Er7Sc2
Source: Alexandria
Functional: PBE
Structure: optimized geometry

Cell and atoms, written as POSCAR:
```
Pm2Er7Sc2
1.0
-1.762 8.532 5.731
1.762 -8.532 5.731
1.762 8.532 -5.731
Pm Er Sc
2 7 2
Cartesian
0.000 3.574 0.000 Pm
0.000 13.490 0.000 Pm
1.762 -2.791 2.848 Er
1.762 6.649 -0.152 Er
1.762 2.791 2.848 Er
0.000 5.698 2.829 Er
0.000 1.883 5.579 Er
0.000 0.000 10.420 Er
0.000 11.366 2.829 Er
0.000 0.000 2.498 Sc
0.000 8.532 1.852 Sc
```

D(E_F) ... 17.63 states/eV per cell
Theoretical density ... 7.47 g/cm3

***

--- x ---
Compound: Pm2Er7Sc2
Source: Alexandria
Functional: PBE
Structure: optimized geometry

Cell and atoms, written as POSCAR:
```
Pm2Er7Sc2
1.0
6.398 -7.896 0.000
6.398 7.896 0.000
-0.474 0.000 3.504
Pm Er Sc
2 7 2
Cartesian
6.398 5.107 0.000 Pm
6.398 -5.107 0.000 Pm
-0.237 0.000 1.752 Er
4.297 2.776 1.201 Er
2.657 0.000 0.173 Er
8.025 2.776 2.303 Er
4.297 -2.776 1.201 Er
9.665 0.000 3.331 Er
8.025 -2.776 2.303 Er
4.898 0.000 2.600 Sc
7.424 0.000 0.904 Sc
```

D(E_F) ... 13.70 states/eV per cell
Theoretical density ... 7.27 g/cm3

***

Relative stability in kJ/mol of atoms, measured from the most stable structure: w 0.0; x 18.1